Material: BaWF7
Method: DFT, PBE with a Hubbard U
State: relaxed

## Properties
- total energy (eV per atom) = -5.53
- crystal system = monoclinic
- space group = P2_1/c (14)

```
BaWF7
1.0
5.705 0.000 0.000
0.000 10.103 0.000
-0.524 0.000 10.558
Ba W F
4 4 28
Direct
0.188 0.170 0.013 Ba
0.188 0.330 0.513 Ba
0.812 0.670 0.487 Ba
0.812 0.830 0.987 Ba
0.332 0.600 0.188 W
0.332 0.900 0.688 W
0.668 0.100 0.312 W
0.668 0.400 0.812 W
0.062 0.689 0.249 F
0.062 0.811 0.749 F
0.101 0.541 0.617 F
0.101 0.959 0.117 F
0.175 0.059 0.625 F
0.175 0.441 0.125 F
0.260 0.695 0.028 F
0.260 0.805 0.528 F
0.390 0.027 0.377 F
0.390 0.473 0.877 F
0.397 0.531 0.361 F
0.397 0.969 0.861 F
0.468 0.249 0.256 F
0.468 0.251 0.756 F
0.532 0.749 0.244 F
0.532 0.751 0.744 F
0.603 0.031 0.139 F
0.603 0.469 0.639 F
0.610 0.527 0.123 F
0.610 0.973 0.623 F
0.740 0.195 0.472 F
0.740 0.305 0.972 F
0.825 0.559 0.875 F
0.825 0.941 0.375 F
0.899 0.041 0.883 F
0.899 0.459 0.383 F
0.938 0.189 0.251 F
0.938 0.311 0.751 F
```